# KRh4

KRh4 after structural relaxation (PBE, the Alexandria database).

Unit cell a=6.1499 b=6.1499 c=6.1499 alpha=140.05 beta=140.05 gamma=57.78
Atoms (fractional coordinates):
K  0.0000  0.0000  0.0000
Rh  0.2500  0.7500  0.5000
Rh  0.3890  0.3890  0.0000
Rh  0.6110  0.6110  0.0000
Rh  0.7500  0.2500  0.5000

Computed properties:
* spin magnetization: 0.0 μB/cell
* DOS(E_F): 7.516 states/eV per cell
* E_form: 542 meV/atom
* space group: I4/mmm (139)
* distance to the lowest polymorph of the same formula: 0 kJ/mol of formula units